[1]
# LiBi2Se2 PBE optimized geometry
data_LiBi2Se2
_symmetry_space_group_name_H-M 'P 4/m b m'
_symmetry_Int_Tables_number 127
_symmetry_space_group_name_Hall '-P 4 2ab'
_cell_length_a 7.3577
_cell_length_b 7.3577
_cell_length_c 4.7929
_cell_angle_alpha 90.00
_cell_angle_beta 90.00
_cell_angle_gamma 90.00
loop_
_atom_site_label
_atom_site_type_symbol
_atom_site_fract_x
_atom_site_fract_y
_atom_site_fract_z
Li1 Li 0.0000 0.0000 0.0000
Bi1 Bi 0.1709 0.3291 0.5000
Se1 Se 0.1781 0.6781 0.0000
# Energy relative to the elements, uncorrected   -0.30 eV/atom
# Volume   259.5 Å³ per cell
# Size of the total moment   0.000 μB per atom


[2]
# Cd2TePb PBE optimized geometry
data_Cd2TePb
_symmetry_space_group_name_H-M 'P 1 2/m 1'
_symmetry_Int_Tables_number 10
_cell_length_a 3.2280
_cell_length_b 4.1522
_cell_length_c 8.5188
_cell_angle_alpha 90.00
_cell_angle_beta 90.02
_cell_angle_gamma 90.00
loop_
_symmetry_equiv_pos_as_xyz
'x,y,z'
'-x,-y,-z'
'-x,y,-z'
'x,-y,z'
loop_
_atom_site_label
_atom_site_type_symbol
_atom_site_fract_x
_atom_site_fract_y
_atom_site_fract_z
Cd1 Cd 0.0024 0.0000 0.2588
Te1 Te 0.0000 0.5000 0.0000
Pb1 Pb 0.5000 0.5000 0.5000
# Energy relative to the elements, uncorrected   -0.04 eV/atom
# Volume   114.2 Å³ per cell
# Size of the total moment   0.000 μB per atom
# Relative energy among the computed polymorphs   0.69 kcal/mol of atoms


[3]
# Ir2AuSe PBE optimized geometry
data_Ir2AuSe
_symmetry_space_group_name_H-M 'C 1 2/m 1'
_symmetry_Int_Tables_number 12
_cell_length_a 5.6012
_cell_length_b 9.5128
_cell_length_c 2.8715
_cell_angle_alpha 90.00
_cell_angle_beta 120.47
_cell_angle_gamma 90.00
loop_
_symmetry_equiv_pos_as_xyz
'x,y,z'
'-x,-y,-z'
'-x,y,-z'
'x,-y,z'
'x+1/2,y+1/2,z'
'-x+1/2,-y+1/2,-z'
'-x+1/2,y+1/2,-z'
'x+1/2,-y+1/2,z'
loop_
_atom_site_label
_atom_site_type_symbol
_atom_site_fract_x
_atom_site_fract_y
_atom_site_fract_z
Ir1 Ir 0.2500 0.2500 0.0000
Au1 Au 0.0000 0.0000 0.0000
Se1 Se 0.0000 0.5000 0.0000
# Energy relative to the elements, uncorrected   0.64 eV/atom
# Volume   131.9 Å³ per cell
# Size of the total moment   0.000 μB per atom